VASP calculation (GGA-PBE) on crystalline Nd4Sm2DyTm2 at its relaxed geometry.

Cell and atoms, written as CIF:
```
data_Nd4Sm2DyTm2
_chemical_formula_sum 'Nd8 Sm4 Dy2 Tm4'
_cell_length_a 15.358
_cell_length_b 5.115
_cell_length_c 8.050
_cell_angle_alpha 90.00
_cell_angle_beta 108.55
_cell_angle_gamma 90.00
_symmetry_space_group_name_H-M 'C 1 2/m 1'
_symmetry_Int_Tables_number 12
loop_
_symmetry_equiv_pos_as_xyz
'x,y,z'
'-x,-y,-z'
'-x,y,-z'
'x,-y,z'
'x+1/2,y+1/2,z'
'-x+1/2,-y+1/2,-z'
'-x+1/2,y+1/2,-z'
'x+1/2,-y+1/2,z'
loop_
_atom_site_label
_atom_site_type_symbol
_atom_site_fract_x
_atom_site_fract_y
_atom_site_fract_z
Nd1 Nd 0.055 0.000 0.330
Nd2 Nd 0.222 0.500 0.330
Sm1 Sm 0.112 0.500 0.670
Dy1 Dy 0.000 0.500 0.000
Tm1 Tm 0.167 0.000 0.000
```

Calculated values
N(E_F) = 28.33 states/eV per cell
formation enthalpy at 0 K = 0.02 eV per atom